(1)
# LiLaAsSe2

Crystalline LiLaAsSe2 at its relaxed geometry (GGA-PBE, Alexandria).

The space-group type is No. 123. The calculation puts the formation energy without anion corrections at -0.329 eV per atom. The density of states at the Fermi level is 0.912 states/eV/atom.

abc: 5.7880 5.7880 5.8300
angles: 90.00 90.00 90.00
Closest atoms and distances in Å follow each position.
Positions (direct):
Li 0.0000 0.0000 0.0000  4 As 4.09, 8 Se 4.11
La 0.5000 0.5000 0.5000  4 Se 2.89, 2 As 2.91
As 0.5000 0.5000 0.0000  2 La 2.91
Se 0.0000 0.5000 0.5000  2 La 2.89
Se 0.5000 0.0000 0.5000  2 La 2.89



(2)
# LiLaAs2Se

Crystalline LiLaAs2Se at its relaxed geometry (GGA-PBE, Alexandria).

The space-group type is No. 123. The calculation puts the formation energy without anion corrections at -0.597 eV per atom. The density of states at the Fermi level is 0.572 states/eV/atom.

abc: 4.6240 4.6240 5.0425
angles: 90.00 90.00 90.00
Closest atoms and distances in Å follow each position.
Positions (direct):
Li 0.0000 0.0000 0.0000  4 As 2.31, 2 Se 2.52
La 0.5000 0.5000 0.5000  4 Se 3.27, 8 As 3.42
As 0.0000 0.5000 0.0000  2 Li 2.31
As 0.5000 0.0000 0.0000  2 Li 2.31
Se 0.0000 0.0000 0.5000  2 Li 2.52



(3)
# LiLaAs2Se

Crystalline LiLaAs2Se at its relaxed geometry (GGA-PBE, Alexandria).

The space-group type is No. 123. The calculation puts the formation energy without anion corrections at 0.012 eV per atom. The density of states at the Fermi level is 1.246 states/eV/atom.

abc: 5.7440 5.7440 5.7611
angles: 90.00 90.00 90.00
Closest atoms and distances in Å follow each position.
Positions (direct):
Li 0.0000 0.0000 0.0000  4 Se 4.06, 8 As 4.07
La 0.5000 0.5000 0.5000  4 As 2.87, 2 Se 2.88
As 0.0000 0.5000 0.5000  2 La 2.87
As 0.5000 0.0000 0.5000  2 La 2.87
Se 0.5000 0.5000 0.0000  2 La 2.88



(4)
# LiLaAsSe2

Crystalline LiLaAsSe2 at its relaxed geometry (GGA-PBE, Alexandria).

The space-group type is No. 123. The calculation puts the formation energy without anion corrections at -0.792 eV per atom. The density of states at the Fermi level is 0.426 states/eV/atom.

abc: 4.9252 4.9252 4.5127
angles: 90.00 90.00 90.00
Closest atoms and distances in Å follow each position.
Positions (direct):
Li 0.0000 0.0000 0.0000  2 As 2.26, 4 Se 2.46
La 0.5000 0.5000 0.5000  8 Se 3.34, 4 As 3.48
As 0.0000 0.0000 0.5000  2 Li 2.26
Se 0.0000 0.5000 0.0000  2 Li 2.46
Se 0.5000 0.0000 0.0000  2 Li 2.46



Q: The lowest formation energy without anion corrections belongs to which entry?
A: number 4